No. 1
Material: PmHI
Method: DFT, PBE
State: optimized geometry

```
PmHI
1.0
6.378 -1.235 -0.174
0.126 6.495 -0.174
1.474 1.192 3.332
I H Pm
2 2 2
Cartesian
5.089 1.492 2.477
2.524 4.664 2.477
6.262 -0.066 0.311
1.246 6.137 0.311
5.688 4.600 1.101
1.862 1.506 1.695
```

Results
* SG: Imm2, No. 44
* total DFT energy (no corrections): -23.4 eV for the cell shown
* total magnetic moment: 0.0 Bohr magnetons per cell

=====

No. 2
Material: Cd5Sb3Te12
Method: DFT, PBE
State: optimized geometry

```
Cd5Sb3Te12
1.0
-5.468 -6.992 12.454
10.202 -9.082 -6.880
6.762 13.102 4.064
Sb Cd Te
12 20 48
Cartesian
0.570 -7.012 7.269
3.712 -11.292 6.245
9.827 -1.245 2.051
2.444 2.030 3.778
-1.819 -3.978 11.053
6.016 -5.023 1.386
5.480 2.050 8.252
13.315 1.006 -1.415
9.052 -5.002 5.861
1.669 -1.728 7.588
7.784 8.319 3.393
10.926 4.040 2.370
4.833 -1.004 -0.007
5.101 -4.541 -3.440
0.000 0.000 0.000
1.345 -3.255 3.458
0.647 3.055 8.259
2.367 -8.037 2.787
9.504 -2.772 -2.079
3.091 5.084 12.037
4.811 -6.007 6.565
4.296 6.069 6.859
7.200 -9.041 2.780
5.748 -1.486 4.819
-2.734 -3.496 6.227
3.381 6.551 2.032
6.685 3.035 3.074
8.405 -8.057 -2.398
8.482 2.010 -1.408
1.992 -0.200 11.718
10.151 0.282 6.180
6.663 -1.968 9.646
-2.275 -5.610 8.310
6.652 -1.798 1.973
0.424 -6.370 10.425
0.172 -4.148 5.843
8.709 -1.881 5.131
1.923 -9.650 8.536
8.895 -3.979 0.377
9.707 -7.092 -4.686
11.069 -3.868 3.455
3.258 -8.156 5.652
2.838 -4.694 8.062
5.184 -13.456 4.173
10.382 -0.296 -1.102
2.871 -5.162 2.082
11.348 -4.157 -3.673
3.053 3.576 6.540
2.789 0.710 0.857
4.973 -8.193 1.303
6.615 -10.405 5.159
3.998 -3.551 -0.828
12.930 -1.036 1.199
6.024 -4.465 4.562
7.124 -6.714 7.982
5.221 3.512 11.114
5.472 1.493 5.077
4.372 3.741 1.656
6.275 -6.485 -1.475
4.881 7.432 4.480
-1.434 -1.937 8.440
7.498 0.579 10.467
6.523 5.221 8.335
8.443 -6.549 3.098
8.707 -3.682 8.782
0.148 1.184 13.312
1.114 -2.677 10.740
6.312 10.484 5.466
8.625 2.189 7.556
0.427 0.896 6.184
8.238 5.183 3.986
8.658 1.722 1.576
1.789 4.120 14.324
2.601 1.007 9.262
11.324 1.176 3.796
9.573 6.678 1.102
2.787 -1.092 4.507
11.072 3.397 -0.786
4.844 -1.174 7.666
13.771 2.637 1.328
```

Results
* SG: Ia-3d, No. 230
* raw formation energy: 47 kJ/mol of formula units
* total magnetic moment: 0.0 Bohr magnetons per cell

=====

No. 3
Material: Ca2BeCdPb
Method: DFT, PBE
State: optimized geometry

```
Ca2BeCdPb
1.0
-4.619 -0.312 -3.152
-0.441 -4.467 1.087
-3.122 1.388 4.438
Pb Be Ca Cd
1 1 2 1
Cartesian
-0.220 -2.234 0.544
0.000 0.000 0.000
-1.561 0.694 2.219
-2.310 -0.156 -1.576
-4.091 -1.696 1.186
```

Results
* SG: P4/mmm, No. 123
* formation enthalpy at 0 K: 0.0539 eV per atom
* total magnetic moment: 0.0 Bohr magnetons per cell